(1)
4
Lattice="4.0774 0.0000 0.0000 0.0000 4.0774 0.0000 0.0000 0.0000 3.1190" Properties=species:S:1:pos:R:3 comment="MnNbFe2 | the Alexandria database | PBE | optimized geometry" dos_ef_per_ev_atom=0.930 sg="P4/mmm, No. 123" m_tot_mub_per_fu=4.439 delta_e_f_mev_per_atom=-4 relative_energy_mev_per_atom=2 pbc="T T T"
Mn 0.0000 0.0000 0.0000
Nb 2.0387 2.0387 0.0000
Fe 0.0000 2.0387 1.5595
Fe 2.0387 0.0000 1.5595

(2)
13
Lattice="-2.3068 4.0374 4.0851 2.3068 -4.0374 4.0851 2.3068 4.0374 -4.0851" Properties=species:S:1:pos:R:3 comment="Mn6NbFe6 | the Alexandria database | PBE | optimized geometry" dos_ef_per_ev_atom=1.200 sg="Immm, No. 71" m_tot_mub_per_fu=3.331 delta_e_f_mev_per_atom=37 pbc="T T T"
Mn 0.0000 0.0000 1.1227
Mn 2.3068 1.1730 0.0000
Mn 0.0000 2.3909 0.0000
Mn 0.0000 5.6838 0.0000
Mn 0.0000 2.8643 4.0851
Mn 0.0000 0.0000 7.0475
Nb 0.0000 0.0000 4.0851
Fe 1.1534 2.0187 -2.0425
Fe 1.1534 -2.0187 2.0425
Fe 2.3068 0.0000 2.2111
Fe -1.1534 2.0187 2.0425
Fe 1.1534 2.0187 2.0425
Fe 0.0000 4.0374 1.8740

(3)
12
Lattice="4.7562 0.0000 0.0000 -2.3781 4.1190 0.0000 0.0000 0.0000 7.8253" Properties=species:S:1:pos:R:3 comment="Mn8Nb3Fe | the Alexandria database | PBE | optimized geometry" dos_ef_per_ev_atom=1.483 sg="P3m1, No. 156" m_tot_mub_per_fu=2.187 delta_e_f_mev_per_atom=-85 pbc="T T T"
Mn 0.0000 0.0000 0.0000
Mn 0.0000 0.0000 3.8860
Mn 0.0000 1.4077 5.8197
Mn -1.1590 3.4151 5.8197
Mn 1.2400 0.7159 1.9509
Mn 1.1590 3.4151 5.8197
Mn 3.5161 0.7159 1.9509
Mn 2.3781 2.6871 1.9509
Nb 0.0000 2.7460 0.4802
Nb 0.0000 2.7460 3.4526
Nb 2.3781 1.3730 7.1884
Fe 2.3781 1.3730 4.3671

(4)
4
Lattice="0.0000 2.9647 2.9647 2.9647 0.0000 2.9647 2.9647 2.9647 0.0000" Properties=species:S:1:pos:R:3 comment="MnNbFe2 | the Alexandria database | PBE | optimized geometry" dos_ef_per_ev_atom=1.182 sg="Fm-3m, No. 225" m_tot_mub_per_fu=4.635 delta_e_f_mev_per_atom=-5 relative_energy_mev_per_atom=0 pbc="T T T"
Mn 0.0000 0.0000 0.0000
Nb 2.9647 2.9647 2.9647
Fe 1.4823 1.4823 1.4823
Fe 4.4470 4.4470 4.4470

(5)
4
Lattice="0.0000 3.0733 3.0733 3.0733 0.0000 3.0733 3.0733 3.0733 0.0000" Properties=species:S:1:pos:R:3 comment="MnNb2Fe | the Alexandria database | PBE | optimized geometry" dos_ef_per_ev_atom=0.693 sg="Fm-3m, No. 225" m_tot_mub_per_fu=1.090 delta_e_f_mev_per_atom=-67 relative_energy_mev_per_atom=8 pbc="T T T"
Mn 0.0000 0.0000 0.0000
Nb 1.5366 1.5366 1.5366
Nb 4.6099 4.6099 4.6099
Fe 3.0733 3.0733 3.0733

(6)
5
Lattice="4.5279 0.0000 0.0000 0.0000 4.5279 0.0000 0.0000 0.0000 4.5279" Properties=species:S:1:pos:R:3 comment="MnNb3Fe | the Alexandria database | PBE | optimized geometry" dos_ef_per_ev_atom=2.024 sg="Pm-3m, No. 221" m_tot_mub_per_fu=0.000 delta_e_f_mev_per_atom=1088 relative_energy_mev_per_atom=0 pbc="T T T"
Mn 0.0000 0.0000 0.0000
Nb 0.0000 2.2640 2.2640
Nb 2.2640 0.0000 2.2640
Nb 2.2640 2.2640 0.0000
Fe 2.2640 2.2640 2.2640

(7)
12
Lattice="6.9078 0.0000 0.0000 0.0000 3.5529 0.0000 0.0000 0.0000 6.1568" Properties=species:S:1:pos:R:3 comment="Mn4NbFe | the Alexandria database | PBE | optimized geometry" dos_ef_per_ev_atom=1.110 sg="Pmma, No. 51" m_tot_mub_per_fu=1.701 delta_e_f_mev_per_atom=169 relative_energy_mev_per_atom=165 pbc="T T T"
Mn 0.0000 0.0000 0.0000
Mn 0.3088 1.7764 1.9301
Mn 1.7269 1.7764 5.8171
Mn 3.1451 1.7764 1.9301
Mn 3.4539 0.0000 0.0000
Mn 3.7627 1.7764 4.2266
Mn 5.1808 1.7764 0.3397
Mn 6.5990 1.7764 4.2266
Nb 1.7269 0.0000 3.8030
Nb 5.1808 0.0000 2.3538
Fe 1.7269 0.0000 1.4157
Fe 5.1808 0.0000 4.7411

(8)
8
Lattice="-1.7633 1.7633 9.2047 1.7633 -1.7633 9.2047 1.7633 1.7633 -9.2047" Properties=species:S:1:pos:R:3 comment="MnNbFe2 | the Alexandria database | PBE | optimized geometry" dos_ef_per_ev_atom=1.147 sg="I-42d, No. 122" m_tot_mub_per_fu=6.240 delta_e_f_mev_per_atom=506 relative_energy_mev_per_atom=511 pbc="T T T"
Mn 0.0000 0.0000 0.0000
Mn 0.0000 1.7633 4.6023
Nb 1.7633 0.0000 4.6023
Nb 0.0000 0.0000 9.2047
Fe 2.6449 0.8166 -2.3012
Fe 0.8166 0.8816 2.3012
Fe -0.8816 0.9467 6.9035
Fe 0.9467 0.8816 11.5059